## Cu3Ag (GGA-PBE)

Data for a relaxed structure of Cu3Ag.

Output
crystal system = monoclinic
calculated total energy = -3.409 eV per atom

Cell lengths 5.8424, 5.8424, 8.8774 Å; angles 126.71, 126.71, 26.63 degrees
Fractional coordinates of all 8 atoms:
Cu 0.0000 0.0000 0.0000
Cu 0.1338 0.1338 0.3887
Cu 0.2568 0.2568 0.7428
Cu 0.5000 0.5000 0.5000
Cu 0.7432 0.7432 0.2572
Cu 0.8662 0.8662 0.6113
Ag 0.3828 0.3828 0.1372
Ag 0.6172 0.6172 0.8628